An optimized crystal structure of NpNi12Ge6. Source: Alexandria via LeMat-Bulk, functional PBE.

Results
Size of the total moment = 0.21 μB/atom
Crystal system = trigonal
Density of states at the Fermi level = 22.61 states/eV per cell
Energy of formation = -311.7 kJ/mol of formula units
DFT total energy = -113.3 eV per cell

Cell: 6.691 6.691 6.691 Å, 105.23 105.23 105.23°
Site moments in Bohr magnetons follow the coordinates.
Atoms (fractional coordinates):
Ni: 0.500 0.882 0.118  0.01
Ni: 0.590 0.590 0.844  -0.03
Ni: 0.156 0.410 0.410  -0.03
Ni: 0.844 0.590 0.590  -0.03
Ni: 0.118 0.500 0.882  0.01
Ni: 0.500 0.118 0.882  0.01
Ni: 0.882 0.500 0.118  0.01
Ni: 0.410 0.156 0.410  -0.03
Ni: 0.410 0.410 0.156  -0.03
Ni: 0.590 0.844 0.590  -0.03
Ni: 0.882 0.118 0.500  0.01
Ni: 0.118 0.882 0.500  0.01
Ge: 0.705 0.260 0.260  0.00
Ge: 0.740 0.740 0.295  0.00
Ge: 0.295 0.740 0.740  0.00
Ge: 0.260 0.705 0.260  0.00
Ge: 0.260 0.260 0.705  0.00
Ge: 0.740 0.295 0.740  0.00
Np: 0.000 0.000 0.000  3.85